No. 1
! Pu2ThSi4 (GGA-PBE, relaxed); values from VASP
&SYSTEM
  ibrav = 0, nat = 7, ntyp = 3
/
ATOMIC_SPECIES
Si 28.09 Si.upf
Pu 244.00 Pu.upf
Th 232.04 Th.upf
CELL_PARAMETERS angstrom
3.845 0.000 -0.877
-0.220 4.128 -0.964
0.101 -0.001 9.314
ATOMIC_POSITIONS angstrom
Si 0.146 2.340 0.642
Pu 0.710 0.765 3.113
Th 1.922 0.000 -0.438
Si 1.360 1.466 5.965
Si 3.580 1.786 6.831
Si 2.366 2.661 1.508
Pu 3.016 3.362 4.361
! E (Ha/atom): -0.3235
! Crystal system: orthorhombic
! DOS(E_F) (states/eV/atom): 2.68
! Uncorrected formation energy (meV/atom): -549

---

No. 2
! Ho2TmPuAs4 (GGA-PBE, relaxed); values from VASP
&SYSTEM
  ibrav = 0, nat = 8, ntyp = 4
/
ATOMIC_SPECIES
As 74.92 As.upf
Ho 164.93 Ho.upf
Tm 168.93 Tm.upf
Pu 244.00 Pu.upf
CELL_PARAMETERS angstrom
4.106 0.000 0.000
0.000 7.090 -0.141
0.000 2.494 6.635
ATOMIC_POSITIONS angstrom
As 2.053 3.652 4.945
As 2.053 5.933 1.549
As 0.000 7.180 4.881
Ho 0.000 2.494 6.635
As 4.106 2.404 1.613
Tm 2.053 3.545 -0.071
Ho 2.053 1.247 3.317
Pu 0.000 4.792 3.247
! E (Ha/atom): -0.2647
! Crystal system: monoclinic
! ΔH_f (0 K) (eV per atom): -1.384
! DOS(E_F) (states/eV/atom): 1.61

---

No. 3
! Na2YIr2 (GGA-PBE, relaxed); values from VASP
&SYSTEM
  ibrav = 0, nat = 5, ntyp = 3
/
ATOMIC_SPECIES
Ir 192.22 Ir.upf
Na 22.99 Na.upf
Y 88.91 Y.upf
CELL_PARAMETERS angstrom
-3.295 -3.439 -0.517
1.164 -0.420 -4.628
1.866 -4.888 -1.567
ATOMIC_POSITIONS angstrom
Ir 0.983 -3.619 -4.384
Na 0.069 -6.079 -4.390
Ir -1.247 -5.128 -2.328
Y 0.000 0.000 0.000
Na -0.334 -2.668 -2.322
! E (Ha/atom): -0.1785
! Crystal system: tetragonal
! ΔH_f (0 K) (eV per atom): 0.509
! DOS(E_F) (states/eV/atom): 0.44

---

No. 4
! Li3AlSn (GGA-PBE, relaxed); values from VASP
&SYSTEM
  ibrav = 0, nat = 5, ntyp = 3
/
ATOMIC_SPECIES
Li 6.94 Li.upf
Al 26.98 Al.upf
Sn 118.71 Sn.upf
CELL_PARAMETERS angstrom
4.861 0.000 0.000
0.000 4.861 0.000
0.000 0.000 4.861
ATOMIC_POSITIONS angstrom
Li 0.000 0.000 2.431
Li 0.000 2.431 0.000
Li 2.431 0.000 0.000
Al 0.000 0.000 0.000
Sn 2.431 2.431 2.431
! E (Ha/atom): -0.0889
! Crystal system: cubic
! ΔH_f (0 K) (eV per atom): 0.279
! DOS(E_F) (states/eV/atom): 0.49

---

No. 5
! CdRhW (GGA-PBE, relaxed); values from VASP
&SYSTEM
  ibrav = 0, nat = 3, ntyp = 3
/
ATOMIC_SPECIES
W 183.84 W.upf
Rh 102.91 Rh.upf
Cd 112.41 Cd.upf
CELL_PARAMETERS angstrom
5.583 -3.190 -0.201
5.275 -1.393 3.409
-6.342 0.646 -0.864
ATOMIC_POSITIONS angstrom
W 7.403 -3.125 2.187
Rh 3.499 -1.477 1.034
Cd 10.814 -4.565 3.195
! E (Ha/atom): -0.2560
! Crystal system: tetragonal
! ΔH_f (0 K) (eV per atom): 0.107
! DOS(E_F) (states/eV/atom): 0.61

---

No. 6
! Pu3GeAu2 (GGA-PBE, relaxed); values from VASP
&SYSTEM
  ibrav = 0, nat = 6, ntyp = 3
/
ATOMIC_SPECIES
Pu 244.00 Pu.upf
Au 196.97 Au.upf
Ge 72.64 Ge.upf
CELL_PARAMETERS angstrom
-1.631 1.430 3.211
-0.950 -3.587 1.115
7.988 -0.751 4.392
ATOMIC_POSITIONS angstrom
Pu 2.742 -0.258 1.508
Pu 0.000 0.000 0.000
Au 0.071 -1.207 2.911
Ge 2.704 -1.454 4.358
Au 5.336 -1.702 5.805
Pu 5.246 -0.493 2.884
! E (Ha/atom): -0.3470
! Crystal system: tetragonal
! ΔH_f (0 K) (eV per atom): -0.414
! DOS(E_F) (states/eV/atom): 3.80

---

No. 7
! Li4EuPb (GGA-PBE, relaxed); values from VASP
&SYSTEM
  ibrav = 0, nat = 6, ntyp = 3
/
ATOMIC_SPECIES
Eu 151.96 Eu.upf
Li 6.94 Li.upf
Pb 207.20 Pb.upf
CELL_PARAMETERS angstrom
-4.778 0.051 -3.165
0.100 -1.992 -5.373
-2.642 -4.922 -1.281
ATOMIC_POSITIONS angstrom
Eu -1.830 -1.716 -2.455
Li -3.252 -1.821 -5.499
Pb 0.000 0.000 0.000
Li -4.579 -4.293 -6.142
Li -2.180 -4.319 -4.553
Li -4.629 -3.293 -3.444
! E (Ha/atom): -0.1401
! Crystal system: cubic
! ΔH_f (0 K) (eV per atom): -0.207
! DOS(E_F) (states/eV/atom): 2.04

---

No. 8
! CoTcPd (GGA-PBE, relaxed); values from VASP
&SYSTEM
  ibrav = 0, nat = 3, ntyp = 3
/
ATOMIC_SPECIES
Co 58.93 Co.upf
Pd 106.42 Pd.upf
Tc 98.00 Tc.upf
CELL_PARAMETERS angstrom
2.690 0.000 0.000
0.000 2.690 0.000
-1.345 -1.345 5.581
ATOMIC_POSITIONS angstrom
Co 0.000 0.000 3.624
Pd 1.345 1.345 5.538
Tc 1.345 1.345 2.000
! E (Ha/atom): -0.2753
! Crystal system: tetragonal
! ΔH_f (0 K) (eV per atom): 0.063
! DOS(E_F) (states/eV/atom): 0.99